## i
The following is a PBE calculation of a geometry-optimized Pm3YAu2 structure, from Alexandria.

Lattice parameters (Å, degrees): 8.755 8.755 8.755 131.51 72.79 129.27
Fractional positions:
Pm1 0.019 0.750 0.269
Pm2 0.250 0.250 0.000
Pm3 0.481 0.750 0.731
Pm4 0.519 0.250 0.269
Pm5 0.750 0.750 0.000
Pm6 0.981 0.250 0.731
Y1 0.000 0.500 0.500
Y2 0.500 0.000 0.500
Au1 0.140 0.205 0.346
Au2 0.360 0.705 0.065
Au3 0.640 0.295 0.935
Au4 0.860 0.795 0.654

Calculated values
Spin magnetization (μB per cell): 0.00

## ii
The following is a PBE calculation of a geometry-optimized Pm3YAu2 structure, from Alexandria.

Lattice parameters (Å, degrees): 5.080 9.211 7.210 90.00 90.00 90.00
Fractional positions:
Pm1 0.000 0.076 0.000
Pm2 0.000 0.334 0.358
Pm3 0.000 0.666 0.858
Pm4 0.000 0.924 0.500
Pm5 0.500 0.165 0.661
Pm6 0.500 0.835 0.161
Y1 0.500 0.428 0.017
Y2 0.500 0.572 0.517
Au1 0.000 0.351 0.771
Au2 0.000 0.649 0.271
Au3 0.500 0.157 0.246
Au4 0.500 0.843 0.746

Calculated values
Spin magnetization (μB per cell): 0.00

Which structure is most stable, and how do the rest compare? From most to least stable: ii, i.

## i
The following is a PBE calculation of a geometry-optimized PmZn2Au structure, from Alexandria.

Lattice parameters (Å, degrees): 3.426 3.426 6.847 90.00 90.00 90.00
Fractional positions:
Pm1 0.000 0.000 0.000
Zn1 0.500 0.500 0.298
Zn2 0.500 0.500 0.702
Au1 0.000 0.000 0.500

Calculated values
Spin magnetization (μB per cell): 0.00

## ii
The following is a PBE calculation of a geometry-optimized PmZn2Au structure, from Alexandria.

Lattice parameters (Å, degrees): 4.780 4.780 4.780 60.00 60.00 60.00
Fractional positions:
Pm1 0.000 0.000 0.000
Zn1 0.250 0.250 0.250
Zn2 0.750 0.750 0.750
Au1 0.500 0.500 0.500

Calculated values
Spin magnetization (μB per cell): 0.00

## iii
The following is a PBE calculation of a geometry-optimized PmZn2Au structure, from Alexandria.

Lattice parameters (Å, degrees): 4.279 4.279 4.630 90.00 90.00 90.00
Fractional positions:
Pm1 0.000 0.000 0.000
Zn1 0.000 0.500 0.500
Zn2 0.500 0.000 0.500
Au1 0.500 0.500 0.000

Calculated values
Spin magnetization (μB per cell): 0.00

Which structure is most stable, and how do the rest compare? From most to least stable: ii, iii, i.

## i
The following is a PBE calculation of a geometry-optimized PmZn2Au structure, from Alexandria.

Lattice parameters (Å, degrees): 8.660 6.896 5.465 90.00 90.00 90.00
Fractional positions:
Pm1 0.058 0.250 0.145
Pm2 0.442 0.750 0.645
Pm3 0.558 0.250 0.355
Pm4 0.942 0.750 0.855
Zn1 0.184 0.054 0.629
Zn2 0.184 0.446 0.629
Zn3 0.316 0.554 0.129
Zn4 0.316 0.946 0.129
Zn5 0.684 0.054 0.871
Zn6 0.684 0.446 0.871
Zn7 0.816 0.554 0.371
Zn8 0.816 0.946 0.371
Au1 0.094 0.750 0.355
Au2 0.406 0.250 0.855
Au3 0.594 0.750 0.145
Au4 0.906 0.250 0.645

Calculated values
Spin magnetization (μB per cell): 0.00

## ii
The following is a PBE calculation of a geometry-optimized PmZn2Au structure, from Alexandria.

Lattice parameters (Å, degrees): 8.424 8.424 9.485 90.00 90.00 150.26
Fractional positions:
Pm1 0.000 0.000 0.000
Pm2 0.000 0.000 0.500
Pm3 0.194 0.806 0.750
Pm4 0.806 0.194 0.250
Zn1 0.191 0.809 0.113
Zn2 0.191 0.809 0.387
Zn3 0.396 0.604 0.750
Zn4 0.451 0.549 0.250
Zn5 0.549 0.451 0.750
Zn6 0.604 0.396 0.250
Zn7 0.809 0.191 0.613
Zn8 0.809 0.191 0.887
Au1 0.356 0.644 0.023
Au2 0.356 0.644 0.477
Au3 0.644 0.356 0.523
Au4 0.644 0.356 0.977

Calculated values
Spin magnetization (μB per cell): 0.00

Which structure is most stable, and how do the rest compare? From most to least stable: ii, i.

## i
The following is a PBE calculation of a geometry-optimized PmZnAu structure, from Alexandria.

Lattice parameters (Å, degrees): 4.587 4.587 3.674 90.00 90.00 120.00
Fractional positions:
Pm1 0.000 0.000 0.000
Zn1 0.333 0.667 0.500
Au1 0.667 0.333 0.500

Calculated values
Spin magnetization (μB per cell): 0.00

## ii
The following is a PBE calculation of a geometry-optimized PmZnAu structure, from Alexandria.

Lattice parameters (Å, degrees): 6.572 6.572 6.572 45.56 45.56 45.56
Fractional positions:
Pm1 0.103 0.103 0.103
Pm2 0.897 0.897 0.897
Zn1 0.427 0.427 0.427
Zn2 0.573 0.573 0.573
Au1 0.281 0.281 0.281
Au2 0.719 0.719 0.719

Calculated values
Spin magnetization (μB per cell): 0.00

Which structure is most stable, and how do the rest compare? From most to least stable: i, ii.